(1)
This record from Alexandria via LeMat-Bulk describes crystalline AlInBi at its relaxed geometry. The functional is GGA-PBE.

E_form ... 0.16 eV/atom
Calculated volume ... 84.9 Å³/f.u.

a = 4.3383 Å, b = 4.3383 Å, c = 5.2078 Å
α = 90.00°, β = 90.00°, γ = 120.00°
Space group P3m1 (No. 156)
Inequivalent atoms, fractional coordinates:
Al 0.0000 0.0000 0.0000
In 0.6667 0.3333 0.3111
Bi 0.3333 0.6667 0.7261


(2)
This record from Alexandria via LeMat-Bulk describes crystalline ZnMo3 at its relaxed geometry. The functional is GGA-PBE.

E_form ... 0.25 eV/atom
Calculated volume ... 62.6 Å³/f.u.

a = 9.3345 Å, b = 2.6207 Å, c = 5.1339 Å
α = 90.00°, β = 94.96°, γ = 90.00°
Space group C2/m (No. 12)
Inequivalent atoms, fractional coordinates:
Zn 0.0000 0.0000 0.0000
Mo 0.0000 0.5000 0.5000
Mo 0.2445 0.5000 0.2440


(3)
This record from Alexandria via LeMat-Bulk describes crystalline Ti2SiSe at its relaxed geometry. The functional is GGA-PBE.

Raw formation energy ... -0.42 eV per atom
Calculated volume ... 64.3 Å³/f.u.

a = 6.3597 Å, b = 6.3597 Å, c = 6.3597 Å
α = 90.00°, β = 90.00°, γ = 90.00°
Space group Fm-3m (No. 225)
Inequivalent atoms, fractional coordinates:
Ti 0.2500 0.2500 0.2500
Si 0.0000 0.0000 0.0000
Se 0.0000 0.0000 0.5000


(4)
This record from Alexandria via LeMat-Bulk describes crystalline Ba2CdTc at its relaxed geometry. The functional is GGA-PBE.

E_form ... 0.48 eV/atom
Calculated volume ... 137.5 Å³/f.u.

a = 3.8462 Å, b = 3.8462 Å, c = 9.2937 Å
α = 90.00°, β = 90.00°, γ = 90.00°
Space group P4mm (No. 99)
Inequivalent atoms, fractional coordinates:
Ba 0.0000 0.0000 0.0000
Ba 0.5000 0.5000 0.4230
Cd 0.0000 0.0000 0.6599
Tc 0.5000 0.5000 0.7487


(5)
This record from Alexandria via LeMat-Bulk describes crystalline GdDyRh4 at its relaxed geometry. The functional is GGA-PBE.

E_form ... -0.73 eV/atom
Calculated volume ... 108.1 Å³/f.u.

a = 7.5625 Å, b = 7.5625 Å, c = 7.5625 Å
α = 90.00°, β = 90.00°, γ = 90.00°
Space group F-43m (No. 216)
Inequivalent atoms, fractional coordinates:
Gd 0.0000 0.0000 0.0000
Dy 0.2500 0.2500 0.7500
Rh 0.1249 0.1249 0.3751


(6)
This record from Alexandria via LeMat-Bulk describes crystalline Sr2ScPaSb4 at its relaxed geometry. The functional is GGA-PBE.

Raw formation energy ... -0.86 eV per atom
Calculated volume ... 259.9 Å³/f.u.

a = 7.6476 Å, b = 4.4980 Å, c = 7.9870 Å
α = 90.00°, β = 108.93°, γ = 90.00°
Space group P2/m (No. 10)
Inequivalent atoms, fractional coordinates:
Sr 0.0000 0.0000 0.0000
Sr 0.5000 0.5000 0.0000
Sc 0.0000 0.5000 0.5000
Pa 0.5000 0.0000 0.5000
Sb 0.2357 0.0000 0.7136
Sb 0.2570 0.5000 0.2825


(7)
This record from Alexandria via LeMat-Bulk describes crystalline Rb2Sn2Br5 at its relaxed geometry. The functional is GGA-PBE.

Raw formation energy ... -1.06 eV per atom
Calculated volume ... 358.6 Å³/f.u.

a = 23.0721 Å, b = 8.1454 Å, c = 7.6317 Å
α = 90.00°, β = 90.00°, γ = 90.00°
Space group Ima2 (No. 46)
Inequivalent atoms, fractional coordinates:
Rb 0.1422 0.0529 0.0000
Sn 0.0000 0.0000 0.5452
Sn 0.2500 0.6763 0.0617
Br 0.0416 0.2154 0.2786
Br 0.1219 0.6332 0.0862
Br 0.2500 0.1021 0.3477


(8)
This record from Alexandria via LeMat-Bulk describes crystalline Zr4BeIn at its relaxed geometry. The functional is GGA-PBE.

E_form ... 0.48 eV/atom
Calculated volume ... 132.7 Å³/f.u.

a = 8.0969 Å, b = 8.0969 Å, c = 8.0969 Å
α = 90.00°, β = 90.00°, γ = 90.00°
Space group F-43m (No. 216)
Inequivalent atoms, fractional coordinates:
Zr 0.1248 0.1248 0.1248
Be 0.2500 0.2500 0.7500
In 0.0000 0.0000 0.5000


Number 1: M_tot 0.00 μB per formula unit. Number 2: M_tot 0.00 μB per formula unit. Number 3: M_tot 0.99 μB per formula unit. Number 4: M_tot 0.47 μB per formula unit. Number 5: M_tot 7.05 μB per formula unit. Number 6: M_tot 0.10 μB per formula unit. Number 7: M_tot 0.00 μB per formula unit. Number 8: M_tot 0.00 μB per formula unit.